The following is a DFT calculation (GGA-PBE) of a relaxed NaGaSi crystal.

abc: 5.9213 6.5857 3.7612
angles: 73.40 107.86 82.01
With the nearest neighbours (Å) after each atom.
Fractional coordinates of all 6 atoms:
Na 0.9400 0.5426 0.9000  5 Ga 3.18-3.28, 5 Si 3.24-3.49, 1 Na 3.32
Na 0.3536 0.8104 0.4699  5 Si 3.17-3.34, 4 Ga 3.17-3.19, 1 Na 3.32
Si 0.9437 0.0952 0.6312  2 Si 2.38, 2 Ga 2.46-2.57
Si 0.7551 0.9736 0.1010  2 Si 2.38, 1 Ga 2.55
Ga 0.3220 0.2224 0.7450  2 Si 2.46-2.55, 2 Ga 2.63-2.64
Ga 0.5409 0.3964 0.2645  1 Si 2.57, 2 Ga 2.63-2.64

Summary:
final energy = -3.252 eV/atom
D(E_F) = 1.58 states/eV per cell
symmetry = No. 1


The following is a DFT calculation (GGA-PBE) of a relaxed NaGaSi crystal.

abc: 4.3444 4.3444 7.0044
angles: 90.00 90.00 120.00
With the nearest neighbours (Å) after each atom.
Fractional coordinates of all 6 atoms:
Si 0.6667 0.3333 0.9481  4 Ga 2.61-2.77, 3 Na 2.87
Si 0.3333 0.6667 0.4481  4 Ga 2.61-2.77, 3 Na 2.87
Ga 0.3333 0.6667 0.0527  4 Si 2.61-2.77, 3 Na 2.86
Ga 0.6667 0.3333 0.5527  4 Si 2.61-2.77, 3 Na 2.86
Na 0.0000 0.0000 0.7492  3 Ga 2.86, 3 Si 2.87
Na 0.0000 0.0000 0.2492  3 Ga 2.86, 3 Si 2.87

Summary:
final energy = -3.286 eV/atom
D(E_F) = 0.11 states/eV per cell
symmetry = No. 186


The following is a DFT calculation (GGA-PBE) of a relaxed NaGaSi crystal.

abc: 4.4160 7.2298 5.6291
angles: 50.05 66.91 90.00
With the nearest neighbours (Å) after each atom.
Fractional coordinates of all 6 atoms:
Si 0.0010 0.6622 0.4980  2 Ga 2.54-2.59, 2 Si 2.55
Si 0.5010 0.8398 0.4980  2 Ga 2.54-2.59, 2 Si 2.55
Ga 0.6519 0.3068 0.1961  2 Si 2.54-2.59, 2 Ga 2.60
Ga 0.1519 0.4971 0.1961  2 Si 2.54-2.59, 2 Ga 2.60
Na 0.8271 0.9002 0.8459  6 Ga 3.05-3.32, 6 Si 3.07-3.34, 2 Na 3.38
Na 0.3271 0.2539 0.8459  6 Ga 3.05-3.32, 6 Si 3.07-3.34, 2 Na 3.38

Summary:
final energy = -3.302 eV/atom
D(E_F) = 1.33 states/eV per cell
symmetry = No. 46


The following is a DFT calculation (GGA-PBE) of a relaxed NaGaSi crystal.

abc: 5.5220 5.5220 10.7432
angles: 90.00 90.00 90.00
With the nearest neighbours (Å) after each atom.
Fractional coordinates of all 12 atoms:
Na 0.0000 0.7674 0.0000  4 Si 3.07-3.09, 2 Na 3.24, 2 Ga 3.33
Na 0.7674 0.0000 0.7500  4 Si 3.07-3.09, 2 Na 3.24, 2 Ga 3.33
Na 0.0000 0.2326 0.5000  4 Si 3.07-3.09, 2 Na 3.24, 2 Ga 3.33
Na 0.2326 0.0000 0.2500  4 Si 3.07-3.09, 2 Na 3.24, 2 Ga 3.33
Si 0.0185 0.5000 0.7500  2 Ga 2.35
Si 0.5000 0.0185 0.0000  2 Ga 2.35
Si 0.9815 0.5000 0.2500  2 Ga 2.35
Si 0.5000 0.9815 0.5000  2 Ga 2.35
Ga 0.6854 0.3146 0.1250  2 Si 2.35
Ga 0.6854 0.6854 0.3750  2 Si 2.35
Ga 0.3146 0.3146 0.8750  2 Si 2.35
Ga 0.3146 0.6854 0.6250  2 Si 2.35

Summary:
final energy = -3.024 eV/atom
D(E_F) = 0.00 states/eV per cell
symmetry = No. 91


The following is a DFT calculation (GGA-PBE) of a relaxed NaGaSi crystal.

abc: 7.1578 4.1265 4.6684
angles: 90.00 90.00 90.00
With the nearest neighbours (Å) after each atom.
Fractional coordinates of all 6 atoms:
Na 0.0000 0.0000 0.5000  4 Ga 3.32, 8 Si 3.32
Na 0.5000 0.5000 0.5000  8 Ga 3.35, 4 Si 3.37
Si 0.1613 0.5000 0.0000  1 Si 2.31, 2 Ga 2.39
Si 0.8387 0.5000 0.0000  1 Si 2.31, 2 Ga 2.39
Ga 0.6711 0.0000 0.0000  2 Si 2.39, 1 Ga 2.45
Ga 0.3289 0.0000 0.0000  2 Si 2.39, 1 Ga 2.45

Summary:
final energy = -3.314 eV/atom
D(E_F) = 1.26 states/eV per cell
symmetry = No. 47


The following is a DFT calculation (GGA-PBE) of a relaxed NaGaSi crystal.

abc: 11.6084 7.3691 5.7221
angles: 90.00 151.54 90.00
With the nearest neighbours (Å) after each atom.
Fractional coordinates of all 12 atoms:
Na 0.9044 0.2061 0.7085  5 Ga 2.86-3.16, 5 Si 2.89-3.19
Na 0.5956 0.7061 0.7915  5 Ga 2.86-3.16, 5 Si 2.89-3.19
Na 0.0956 0.7939 0.2915  5 Ga 2.86-3.16, 5 Si 2.89-3.19
Na 0.4044 0.2939 0.2085  5 Ga 2.86-3.16, 5 Si 2.89-3.19
Ga 0.5495 0.9114 0.2849  3 Si 2.62-2.68, 1 Ga 2.66, 2 Na 2.86-2.87
Ga 0.9505 0.4114 0.2151  3 Si 2.62-2.68, 1 Ga 2.66, 2 Na 2.86-2.87
Ga 0.0495 0.5886 0.7849  3 Si 2.62-2.68, 1 Ga 2.66, 2 Na 2.86-2.87
Ga 0.4505 0.0886 0.7151  3 Si 2.62-2.68, 1 Ga 2.66, 2 Na 2.86-2.87
Si 0.3278 0.4220 0.5999  1 Si 2.47, 3 Ga 2.62-2.68
Si 0.6722 0.5780 0.4001  1 Si 2.47, 3 Ga 2.62-2.68
Si 0.1722 0.9220 0.9001  1 Si 2.47, 3 Ga 2.62-2.68
Si 0.8278 0.0780 0.0999  1 Si 2.47, 3 Ga 2.62-2.68

Summary:
final energy = -3.291 eV/atom
D(E_F) = 1.47 states/eV per cell
symmetry = No. 14


The following is a DFT calculation (GGA-PBE) of a relaxed NaGaSi crystal.

abc: 5.9426 5.9426 6.0358
angles: 90.00 90.00 142.72
With the nearest neighbours (Å) after each atom.
Fractional coordinates of all 6 atoms:
Na 0.2956 0.7044 0.7500  5 Si 3.08-3.33, 4 Ga 3.34
Na 0.7044 0.2956 0.2500  5 Si 3.08-3.33, 4 Ga 3.34
Ga 0.0000 0.0000 0.5000  4 Si 2.59
Ga 0.0000 0.0000 0.0000  4 Si 2.59
Si 0.4198 0.5802 0.2500  4 Ga 2.59
Si 0.5802 0.4198 0.7500  4 Ga 2.59

Summary:
final energy = -3.160 eV/atom
D(E_F) = 2.57 states/eV per cell
symmetry = No. 63


The following is a DFT calculation (GGA-PBE) of a relaxed Na3GaSi crystal.

abc: 7.3597 7.3597 7.0793
angles: 110.48 119.41 101.02
With the nearest neighbours (Å) after each atom.
Fractional coordinates of all 10 atoms:
Na 0.7215 0.4490 0.1705  2 Si 2.92-3.08, 1 Ga 3.01
Na 0.2221 0.4101 0.2496  2 Si 3.02-3.08, 1 Ga 3.26
Na 0.1605 0.9725 0.7504  2 Si 3.02-3.08, 1 Ga 3.26
Na 0.2785 0.5510 0.8295  2 Si 2.92-3.08, 1 Ga 3.01
Na 0.7779 0.5899 0.7504  2 Si 3.02-3.08, 1 Ga 3.26
Na 0.8395 0.0275 0.2496  2 Si 3.02-3.08, 1 Ga 3.26
Ga 0.3209 0.9171 0.2380  2 Si 2.44-2.53
Ga 0.6791 0.0829 0.7620  2 Si 2.44-2.53
Si 0.3744 0.2129 0.5873  2 Ga 2.44-2.53
Si 0.6256 0.7871 0.4128  2 Ga 2.44-2.53

Summary:
final energy = -2.421 eV/atom
ΔE to the lowest computed polymorph = 0 meV per atom
D(E_F) = 4.62 states/eV per cell
symmetry = No. 12


The following is a DFT calculation (GGA-PBE) of a relaxed NaGaSi crystal.

abc: 3.4301 3.4301 5.8444
angles: 107.06 107.06 90.00
With the nearest neighbours (Å) after each atom.
Fractional coordinates of all 3 atoms:
Ga 0.3156 0.3156 0.6313  4 Si 2.66
Si 0.9193 0.9193 0.8386  4 Ga 2.66
Na 0.6151 0.6151 0.2301  5 Ga 3.18-3.23, 5 Si 3.20-3.24, 4 Na 3.43

Summary:
final energy = -3.090 eV/atom
D(E_F) = 1.80 states/eV per cell
symmetry = No. 107


The following is a DFT calculation (GGA-PBE) of a relaxed Na17Ga11Si crystal.

abc: 9.6182 9.6182 9.6087
angles: 109.45 109.45 109.50
With the nearest neighbours (Å) after each atom.
Fractional coordinates of all 29 atoms:
Ga 0.1763 0.8187 0.1778  3 Ga 2.76-2.87
Ga 0.8248 0.9983 0.6446  3 Ga 2.73-2.83
Ga 0.8244 0.6446 0.9995  3 Ga 2.76-2.83
Ga 0.8187 0.1763 0.1778  3 Ga 2.76-2.87
Ga 0.1836 0.3585 0.3534  1 Si 2.67, 2 Ga 2.75-2.87
Ga 0.9983 0.8248 0.6446  3 Ga 2.73-2.83
Ga 0.1855 0.1855 0.8299  1 Si 2.76, 2 Ga 2.83
Ga 0.6446 0.8244 0.9995  3 Ga 2.76-2.83
Ga 0.9994 0.6453 0.8207  3 Ga 2.78-2.80
Ga 0.3585 0.1836 0.3534  1 Si 2.67, 2 Ga 2.75-2.87
Ga 0.6453 0.9994 0.8207  3 Ga 2.78-2.80
Na 0.0001 0.5925 0.3128  7 Na 3.14-3.39, 5 Ga 3.19-3.34
Na 0.6897 0.2813 0.6889  7 Na 3.14-3.39, 5 Ga 3.20-3.35
Na 0.0019 0.3486 0.0015  4 Na 3.11-3.33, 5 Ga 3.20-3.26, 1 Si 3.21
Na 0.4065 0.7155 0.4050  7 Na 3.11-3.38, 4 Ga 3.14-3.35, 1 Si 3.19
Na 0.3114 0.0006 0.5918  7 Na 3.13-3.37, 5 Ga 3.22-3.38
Na 0.6489 0.6489 0.6488  4 Na 3.11-3.39, 6 Ga 3.24-3.25
Na 0.0016 0.0016 0.0008  1 Si 3.21, 11 Ga 3.26-3.30, 4 Na 3.33-3.39
Na 0.4072 0.4072 0.7181  7 Na 3.12-3.38, 5 Ga 3.20-3.34
Na 0.6833 0.6833 0.2796  7 Na 3.17-3.39, 4 Ga 3.21-3.37, 1 Si 3.23
Na 0.9989 0.9989 0.3481  4 Na 3.13-3.36, 6 Ga 3.24-3.29
Na 0.3486 0.0019 0.0015  4 Na 3.11-3.33, 5 Ga 3.20-3.26, 1 Si 3.21
Na 0.7155 0.4065 0.4050  7 Na 3.11-3.38, 4 Ga 3.14-3.35, 1 Si 3.19
Na 0.0006 0.3114 0.5918  7 Na 3.13-3.37, 5 Ga 3.22-3.38
Na 0.5925 0.0001 0.3128  7 Na 3.14-3.39, 5 Ga 3.19-3.34
Na 0.3110 0.5903 0.0006  7 Na 3.11-3.39, 4 Ga 3.21-3.26, 1 Si 3.36
Na 0.2813 0.6897 0.6889  7 Na 3.14-3.39, 5 Ga 3.20-3.35
Na 0.5903 0.3110 0.0006  7 Na 3.11-3.39, 4 Ga 3.21-3.26, 1 Si 3.36
Si 0.3513 0.3513 0.1814  3 Ga 2.67-2.76

Summary:
final energy = -2.160 eV/atom
D(E_F) = 12.56 states/eV per cell
symmetry = No. 8


The following is a DFT calculation (GGA-PBE) of a relaxed NaGaSi crystal.

abc: 4.3566 13.8724 7.9470
angles: 29.21 74.09 90.00
With the nearest neighbours (Å) after each atom.
Fractional coordinates of all 9 atoms:
Ga 0.4683 0.4683 0.0634  4 Si 2.54-2.61
Ga 0.0411 0.3526 0.9177  4 Si 2.58-2.75
Ga 0.0411 0.7296 0.9177  4 Si 2.58-2.75
Na 0.9790 0.9790 0.0420  2 Si 2.94, 4 Na 3.00, 2 Ga 3.14-3.28
Na 0.5402 0.1862 0.9196  4 Si 2.81-3.11, 2 Na 3.00
Na 0.5402 0.8942 0.9196  4 Si 2.81-3.11, 2 Na 3.00
Si 0.1715 0.6715 0.6570  4 Ga 2.54-2.75
Si 0.3283 0.1519 0.3435  4 Ga 2.58-2.63, 1 Na 2.81
Si 0.3283 0.5047 0.3435  4 Ga 2.58-2.63, 1 Na 2.81

Summary:
final energy = -3.182 eV/atom
D(E_F) = 1.43 states/eV per cell
symmetry = No. 44


The following is a DFT calculation (GGA-PBE) of a relaxed NaGaSi2 crystal.

abc: 4.8434 4.8434 9.2619
angles: 74.84 74.84 90.00
With the nearest neighbours (Å) after each atom.
Fractional coordinates of all 8 atoms:
Si 0.8750 0.1234 0.7500  2 Si 2.42, 2 Ga 2.47
Si 0.3750 0.1266 0.7500  2 Si 2.42, 2 Ga 2.47
Si 0.8734 0.1250 0.2500  2 Si 2.42, 2 Ga 2.47
Si 0.8766 0.6250 0.2500  2 Si 2.42, 2 Ga 2.47
Ga 0.7500 0.2500 0.5000  4 Si 2.47
Ga 0.0000 0.0000 0.0000  4 Si 2.47
Na 0.2500 0.7500 0.5000  4 Ga 3.42, 8 Si 3.45-3.46
Na 0.5000 0.5000 0.0000  4 Ga 3.42, 8 Si 3.45-3.46

Summary:
final energy = -3.486 eV/atom
D(E_F) = 2.22 states/eV per cell
symmetry = No. 122


The following is a DFT calculation (GGA-PBE) of a relaxed NaGaSi crystal.

abc: 7.1349 3.6638 6.3236
angles: 106.85 72.86 121.00
With the nearest neighbours (Å) after each atom.
Fractional coordinates of all 6 atoms:
Si 0.9548 0.1941 0.5672  2 Si 2.49, 3 Ga 2.62-2.66
Si 0.2335 0.9320 0.4842  2 Si 2.49, 3 Ga 2.62-2.67
Ga 0.9544 0.8482 0.8762  3 Si 2.62-2.67, 1 Ga 2.70
Ga 0.2337 0.2777 0.1753  3 Si 2.62-2.66, 1 Ga 2.70
Na 0.7205 0.3148 0.2761  3 Si 3.02-3.07, 2 Ga 3.17
Na 0.4678 0.8131 0.7755  3 Si 3.02-3.07, 2 Ga 3.17

Summary:
final energy = -3.231 eV/atom
D(E_F) = 1.92 states/eV per cell
symmetry = No. 2


The following is a DFT calculation (GGA-PBE) of a relaxed NaGaSi crystal.

abc: 6.5282 5.7109 4.1482
angles: 71.88 91.18 105.45
With the nearest neighbours (Å) after each atom.
Fractional coordinates of all 6 atoms:
Ga 0.9837 0.2145 0.7236  2 Si 2.50-2.51, 1 Ga 2.63
Ga 0.2416 0.6674 0.4002  3 Si 2.47-2.50, 1 Ga 2.63
Si 0.3490 0.4840 0.9861  1 Si 2.42, 2 Ga 2.47-2.50
Si 0.1257 0.0611 0.2917  1 Si 2.42, 3 Ga 2.47-2.51
Na 0.8430 0.6108 0.9803  4 Ga 3.10-3.46, 3 Si 3.11-3.36
Na 0.4977 0.1069 0.7296  4 Si 3.01-3.30, 3 Ga 3.07-3.28

Summary:
final energy = -3.253 eV/atom
D(E_F) = 0.69 states/eV per cell
symmetry = No. 1


The following is a DFT calculation (GGA-PBE) of a relaxed Na3GaSi crystal.

abc: 5.5393 5.5393 5.5393
angles: 90.00 90.00 90.00
With the nearest neighbours (Å) after each atom.
Fractional coordinates of all 5 atoms:
Si 0.0000 0.0000 0.0000  6 Na 2.77
Ga 0.5000 0.5000 0.5000  12 Na 3.92
Na 0.0000 0.5000 0.0000  2 Si 2.77
Na 0.5000 0.0000 0.0000  2 Si 2.77
Na 0.0000 0.0000 0.5000  2 Si 2.77

Summary:
final energy = -2.051 eV/atom
ΔE to the lowest computed polymorph = 370 meV per atom
D(E_F) = 2.18 states/eV per cell
symmetry = No. 221


The following is a DFT calculation (GGA-PBE) of a relaxed Na2GaSi crystal.

abc: 4.9650 4.9650 4.9650
angles: 60.00 60.00 60.00
With the nearest neighbours (Å) after each atom.
Fractional coordinates of all 4 atoms:
Na 0.2500 0.2500 0.2500  4 Si 3.04, 4 Ga 3.04
Na 0.7500 0.7500 0.7500  4 Si 3.04, 4 Ga 3.04
Si 0.0000 0.0000 0.0000  8 Na 3.04
Ga 0.5000 0.5000 0.5000  8 Na 3.04

Summary:
final energy = -2.526 eV/atom
ΔE to the lowest computed polymorph = 266 meV per atom
D(E_F) = 2.93 states/eV per cell
symmetry = No. 225


The following is a DFT calculation (GGA-PBE) of a relaxed NaGaSi crystal.

abc: 4.9414 4.9414 6.0736
angles: 90.00 90.00 105.40
With the nearest neighbours (Å) after each atom.
Fractional coordinates of all 6 atoms:
Si 0.2680 0.7320 0.7500  2 Ga 2.37
Si 0.7320 0.2680 0.2500  2 Ga 2.37
Ga 0.5000 0.5000 0.5000  2 Si 2.37
Ga 0.5000 0.5000 0.0000  2 Si 2.37
Na 0.8729 0.1271 0.7500  5 Si 3.11-3.23, 2 Ga 3.30
Na 0.1271 0.8729 0.2500  5 Si 3.11-3.23, 2 Ga 3.30

Summary:
final energy = -3.064 eV/atom
D(E_F) = 0.86 states/eV per cell
symmetry = No. 63


The following is a DFT calculation (GGA-PBE) of a relaxed NaGaSi crystal.

abc: 5.2750 5.5781 5.4579
angles: 59.27 61.10 90.00
With the nearest neighbours (Å) after each atom.
Fractional coordinates of all 6 atoms:
Si 0.5000 0.5000 0.5000  2 Si 2.64, 4 Ga 2.73
Si 0.0000 0.5000 0.5000  2 Si 2.64, 4 Ga 2.73
Na 0.6248 0.8748 0.7504  6 Ga 3.14-3.23, 6 Si 3.19-3.23, 4 Na 3.28-3.40
Na 0.3752 0.1252 0.2496  6 Ga 3.14-3.23, 6 Si 3.19-3.23, 4 Na 3.28-3.40
Ga 0.0000 0.0000 0.0000  4 Si 2.73, 2 Ga 2.79
Ga 0.0000 0.5000 0.0000  4 Si 2.73, 2 Ga 2.79

Summary:
final energy = -3.209 eV/atom
D(E_F) = 2.22 states/eV per cell
symmetry = No. 74


The following is a DFT calculation (GGA-PBE) of a relaxed NaGaSi crystal.

abc: 6.9034 5.2369 4.0502
angles: 90.00 90.00 90.00
With the nearest neighbours (Å) after each atom.
Fractional coordinates of all 6 atoms:
Ga 0.5000 0.5000 0.5000  2 Si 2.39
Ga 0.0000 0.5000 0.5000  2 Si 2.39
Na 0.2500 0.0000 0.3028  2 Si 3.06, 4 Ga 3.24
Na 0.7500 0.0000 0.6972  2 Si 3.06, 4 Ga 3.24
Si 0.7500 0.5000 0.0902  2 Ga 2.39
Si 0.2500 0.5000 0.9098  2 Ga 2.39

Summary:
final energy = -3.077 eV/atom
D(E_F) = 0.94 states/eV per cell
symmetry = No. 51


The following is a DFT calculation (GGA-PBE) of a relaxed NaGaSi crystal.

abc: 4.1711 6.2979 6.2979
angles: 69.36 90.00 90.00
With the nearest neighbours (Å) after each atom.
Fractional coordinates of all 6 atoms:
Ga 0.2340 0.5871 0.9129  3 Si 2.37-2.42
Ga 0.7660 0.0871 0.4129  3 Si 2.37-2.42
Si 0.7387 0.4244 0.0756  3 Ga 2.37-2.42
Si 0.2613 0.9244 0.5756  3 Ga 2.37-2.42
Na 0.5000 0.0102 0.9898  2 Si 3.01, 2 Ga 3.08
Na 0.5000 0.5102 0.4898  2 Si 3.01, 2 Ga 3.08

Summary:
final energy = -3.241 eV/atom
D(E_F) = 0.00 states/eV per cell
symmetry = No. 39


Result set for E_form (uncorrected): 0.0040; -0.0295; -0.0457; 0.2324; -0.0581; -0.0347; 0.0961; 0.0602; 0.1667; -0.0521; 0.0739; 0.3124; 0.0254; 0.0031; 0.4305; 0.2464; 0.1925; 0.0476; 0.1796; 0.0149 eV per atom, one per record in the order listed.